The following is a PBE calculation of crystalline Pr6Tm2Mg at its relaxed geometry, from the Alexandria database.

The structure in POSCAR format:
```
Pr6Tm2Mg
1.0
10.795 0.000 0.000
0.000 10.795 0.000
0.000 0.000 5.191
Pr Tm Mg
12 4 2
Direct
0.005 0.331 0.000
0.156 0.844 0.500
0.169 0.505 0.500
0.331 0.005 0.000
0.344 0.344 0.000
0.495 0.831 0.500
0.505 0.169 0.500
0.656 0.656 0.000
0.669 0.995 0.000
0.831 0.495 0.500
0.844 0.156 0.500
0.995 0.669 0.000
0.175 0.175 0.500
0.325 0.675 0.000
0.675 0.325 0.000
0.825 0.825 0.500
0.000 0.000 0.000
0.500 0.500 0.500
```

Values from the calculation:
The calculation puts the polymorph energy (0 for the lowest one) at 0 meV per atom. As for the density of states at the Fermi level: 27.3 states/eV per cell. For the final energy, the calculation gives -4.332 eV/atom. The calculated volume comes out at 302 Å³/f.u. The calculated formation energy comes out at 0.0257 eV/atom.

=====

The following is a PBE calculation of crystalline ZnIn4Tc at its relaxed geometry, from the Alexandria database.

The structure in POSCAR format:
```
ZnIn4Tc
1.0
0.000 4.041 4.041
4.041 0.000 4.041
4.041 4.041 0.000
Zn In Tc
1 4 1
Direct
0.000 0.000 0.000
0.126 0.625 0.625
0.625 0.126 0.625
0.625 0.625 0.126
0.625 0.625 0.625
0.250 0.250 0.250
```

Values from the calculation:
As for the density of states at the Fermi level: 2.4 states/eV per cell. For the final energy, the calculation gives -3.071 eV/atom. The calculated volume comes out at 132 Å³/f.u. The calculated formation energy comes out at 0.6950 eV/atom.

=====

The following is a PBE calculation of crystalline MnTlH2Cl8 at its relaxed geometry, from the Alexandria database.

The structure in POSCAR format:
```
MnTlH2Cl8
1.0
6.775 0.000 0.000
0.927 6.757 0.000
0.327 0.296 7.606
Mn Tl H Cl
1 1 2 8
Direct
0.000 0.000 0.000
0.000 0.000 0.500
0.261 0.271 0.712
0.739 0.729 0.288
0.179 0.811 0.793
0.197 0.829 0.207
0.217 0.227 0.968
0.286 0.295 0.536
0.714 0.705 0.464
0.783 0.773 0.032
0.803 0.171 0.793
0.821 0.189 0.207
```

Values from the calculation:
As for the density of states at the Fermi level: 1.5 states/eV per cell. For the final energy, the calculation gives -3.438 eV/atom. The calculated volume comes out at 348 Å³/f.u.

=====

The following is a PBE calculation of crystalline CuHg2Br at its relaxed geometry, from the Alexandria database.

The structure in POSCAR format:
```
CuHg2Br
1.0
2.442 -5.748 0.000
2.442 5.748 0.000
0.000 0.000 4.022
Cu Hg Br
1 2 1
Direct
0.000 0.000 0.000
0.169 0.831 0.500
0.831 0.169 0.500
0.500 0.500 0.000
```

Values from the calculation:
The calculation puts the polymorph energy (0 for the lowest one) at 28 meV per atom. As for the density of states at the Fermi level: 0.6 states/eV per cell. For the final energy, the calculation gives -1.657 eV/atom. The calculated volume comes out at 113 Å³/f.u. The formation energy without anion corrections comes out at -0.064 eV per atom.